{
  "formula": "YCoBiH2",
  "functional": "GGA-PBEsol",
  "state": "optimized geometry",
  "de_polymorph_ev_per_atom": 0.0000,
  "e_tot_ev_per_atom": -4.778,
  "crystal_system": "tetragonal",
  "n_ef_per_ev_cell": 3.6,
  "lattice_angstrom": [[-3.3280, 2.0314, 1.1766], [0.3986, -1.5226, 3.7562], [2.7829, 3.8308, 1.2575]],
  "species": ["Y", "H", "H", "Co", "Bi"],
  "frac_coords": [[0.5000, 0.5000, 0.5000], [0.5000, 0.0000, 0.0000], [0.0000, 0.5000, 0.0000], [0.0000, 0.0000, 0.0000], [0.0000, 0.0000, 0.5000]]
}

=====

{
  "formula": "YCoBiH2",
  "functional": "GGA-PBEsol",
  "state": "optimized geometry",
  "de_polymorph_ev_per_atom": 0.0831,
  "e_tot_ev_per_atom": -4.695,
  "crystal_system": "tetragonal",
  "n_ef_per_ev_cell": 2.1,
  "lattice_angstrom": [[4.0229, 0.0000, 0.0000], [0.0000, 4.0229, 0.0000], [0.0000, 0.0000, 4.9956]],
  "species": ["H", "H", "Y", "Co", "Bi"],
  "frac_coords": [[0.0000, 0.5000, 0.0000], [0.5000, 0.0000, 0.0000], [0.5000, 0.5000, 0.5000], [0.0000, 0.0000, 0.5000], [0.0000, 0.0000, 0.0000]]
}

=====

{
  "formula": "Hf2CoBi",
  "functional": "GGA-PBEsol",
  "state": "optimized geometry",
  "e_tot_ev_per_atom": -8.224,
  "crystal_system": "tetragonal",
  "n_ef_per_ev_cell": 5.6,
  "lattice_angstrom": [[-0.3523, 3.9027, -4.3379], [3.0490, -1.0181, -5.1024], [-4.3380, -0.6188, -4.1432]],
  "species": ["Hf", "Bi", "Hf", "Hf", "Co", "Co", "Bi", "Hf"],
  "frac_coords": [[0.3750, 0.4315, 0.0685], [0.7500, 0.5000, 0.5000], [0.1935, 0.9315, 0.4315], [0.5565, 0.0685, 0.5685], [0.5000, 0.0000, 0.0000], [0.2500, 0.5000, 0.5000], [0.0000, 0.0000, 0.0000], [0.8750, 0.5685, 0.9315]]
}